The following is a PBE calculation of crystalline AcNbSi2Mo at its relaxed geometry, from the Alexandria database.

Cell: 4.172 4.172 6.570 Å, 108.51 108.51 90.00°
Element x y z (fractional)
Ac 0.000 0.000 0.000
Nb 0.750 0.250 0.500
Si 0.614 0.614 0.228
Si 0.386 0.386 0.772
Mo 0.250 0.750 0.500

## Properties
Magnetization = 0.00 μB/f.u.
E_tot = -7.637 eV per atom
E_form (uncorrected) = -0.466 eV per atom
SG = I-4m2, No. 119